Material: HPdSe
Method: DFT, PBE-GGA
State: optimized geometry

DOS at the Fermi energy in states/eV per atom: 0.3634
Symmetry: No. 123
Crystal system: tetragonal
Offset from the most stable computed form in meV per atom: 75

```
HPdSe
1.0
2.773 0.000 0.000
0.000 2.773 0.000
0.000 0.000 5.244
H Pd Se
1 1 1
Direct
0.000 0.000 0.000
0.500 0.500 0.000
0.500 0.500 0.500
```